{"formula": "SrDy2NbN4", "functional": "PBE-GGA", "state": "relaxed", "lattice_angstrom": [[3.469, 0.000, 0.000], [-1.734, 6.100, 0.000], [0.000, 0.000, 12.189]], "species": ["Sr", "Sr", "Dy", "Dy", "Dy", "Dy", "Nb", "Nb", "N", "N", "N", "N", "N", "N", "N", "N"], "fractional_positions": [[0.098, 0.196, 0.750], [0.902, 0.804, 0.250], [0.371, 0.743, 0.534], [0.629, 0.257, 0.034], [0.629, 0.257, 0.466], [0.371, 0.743, 0.966], [0.833, 0.666, 0.750], [0.167, 0.334, 0.250], [0.258, 0.516, 0.118], [0.742, 0.484, 0.618], [0.742, 0.484, 0.882], [0.258, 0.516, 0.382], [0.000, 0.000, 0.500], [0.000, 0.000, 0.000], [0.425, 0.850, 0.750], [0.575, 0.150, 0.250]], "dft_energy_ha_per_atom": -0.2944, "vol_a3_per_cell": 257.9, "formation_energy_uncorrected_ev_per_atom": -1.23, "mass_density_g_cm3": 7.2}